K2TiTe2 PBE optimized geometry; SG = P4/mbm (127); ΔE_f (raw) = -550 meV/atom; energy relative to the lowest polymorph listed for this composition = 253 meV/atom; electronic total energy = -38.25 eV/cell
1.0
7.809 0.000 0.000
0.000 7.809 0.000
0.000 0.000 5.454
K Te Ti
4 4 2
Direct
0.646 0.854 0.500 K
0.854 0.354 0.500 K
0.146 0.646 0.500 K
0.354 0.146 0.500 K
0.824 0.676 0.000 Te
0.676 0.176 0.000 Te
0.324 0.824 0.000 Te
0.176 0.324 0.000 Te
0.000 0.000 0.000 Ti
0.500 0.500 0.000 Ti